PrNd2Ga2Ag2: optimized geometry, PBE.

Cell and atoms, written as POSCAR:
```
PrNd2Ga2Ag2
1.0
2.350 1.357 9.253
-2.350 1.357 9.253
0.000 -2.713 9.253
Pr Nd Ga Ag
1 2 2 2
Cartesian
0.000 0.000 0.000
0.000 0.000 3.501
0.000 0.000 24.258
0.000 0.000 7.204
0.000 0.000 20.554
0.000 0.000 11.091
0.000 0.000 16.668
```

total moment: 0.0 μB/f.u.
ΔE_f: -0.3752 eV/atom
crystal system: trigonal
DOS at the Fermi energy: 5.47 states/eV per cell

PrNdGaAg: optimized geometry, PBE.

Cell and atoms, written as POSCAR:
```
PrNdGaAg
1.0
0.000 3.749 3.749
3.749 0.000 3.749
3.749 3.749 0.000
Pr Nd Ga Ag
1 1 1 1
Cartesian
0.000 0.000 0.000
3.749 3.749 3.749
5.624 5.624 5.624
1.875 1.875 1.875
```

total moment: 0.0 μB/f.u.
ΔE_f: -0.3986 eV/atom
crystal system: cubic
DOS at the Fermi energy: 4.47 states/eV per cell

Look up the ΔE_f of the second one. -0.3986 eV/atom